A plane-wave DFT calculation with PBE was carried out for an optimized crystal structure of CeMnCoGe2.

abc: 4.027 4.027 10.447
angles: 90.00 90.00 90.00
Space group I-4m2 (No. 119)
Asymmetric unit:
Ce (0.000, 0.000, 0.000) x2
Mn (0.000, 0.500, 0.750) x2
Co (0.000, 0.500, 0.250) x2
Ge (0.000, 0.000, 0.375) x4

Output
* energy: -6.780 eV/atom
* DFT formation energy: -0.49 eV per atom
* DOS at the Fermi energy: 14.23 states/eV per cell